AlTe2Os | PBE | relaxed

Properties
uncorrected formation energy: 0.632 eV per atom
Fermi-level density of states: 2.8 states/eV/f.u.
energy: -18.73 eV per cell
SG: Cmmm (65)
total moment: 0.0 μB/f.u.

abc: 4.9421 4.9421 3.2433
angles: 90.00 90.00 90.07
Sites, in units of the cell vectors:
Os1 0.0000 0.5000 0.5000
Te1 0.5000 0.5000 0.0000
Te2 0.0000 0.0000 0.0000
Al1 0.5000 0.0000 0.5000

DyTh2S5 | PBE | relaxed

Properties
uncorrected formation energy: -1.981 eV per atom
Fermi-level density of states: 1.6 states/eV/f.u.
energy: -111.86 eV per cell
SG: Pbam (55)
total moment: 0.0 μB/f.u.

abc: 3.9481 7.7585 12.0276
angles: 90.00 90.00 90.00
Sites, in units of the cell vectors:
S1 0.5000 0.8329 0.8949
S2 0.0000 0.8153 0.1962
S3 0.5000 0.3329 0.6051
S4 0.5000 0.6671 0.3949
S5 0.0000 0.0000 0.5000
S6 0.0000 0.5000 0.0000
S7 0.0000 0.3153 0.3038
S8 0.0000 0.1847 0.8038
S9 0.0000 0.6847 0.6962
S10 0.5000 0.1671 0.1051
Th1 0.5000 0.4810 0.8230
Th2 0.5000 0.0190 0.3230
Th3 0.5000 0.9810 0.6770
Th4 0.5000 0.5190 0.1770
Dy1 0.0000 0.0000 0.0000
Dy2 0.0000 0.5000 0.5000

SrH | PBE | relaxed

Properties
Fermi-level density of states: 1.8 states/eV/f.u.
energy: -11.21 eV per cell
SG: P6_3/mmc (194)
total moment: 0.0 μB/f.u.

abc: 4.4294 4.4294 5.3449
angles: 90.00 90.00 120.00
Sites, in units of the cell vectors:
Sr1 0.6667 0.3333 0.2500
Sr2 0.3333 0.6667 0.7500
H1 0.3333 0.6667 0.2500
H2 0.6667 0.3333 0.7500

Rb4DyU3Te8 | PBE | relaxed

Properties
uncorrected formation energy: -0.963 eV per atom
Fermi-level density of states: 23.6 states/eV/f.u.
energy: -82.89 eV per cell
SG: R-3m (166)
total moment: 9.0 μB/f.u.

abc: 9.0694 10.0753 9.0692
angles: 116.75 120.00 90.00
Sites, in units of the cell vectors:
Te1 0.7343 0.7027 0.4685
Te2 0.7677 0.2983 0.0306
Te3 0.2323 0.7017 0.9694
Te4 0.2657 0.2973 0.5315
Te5 0.2630 0.2983 0.0306
Te6 0.7677 0.2983 0.5353
Te7 0.7370 0.7017 0.9694
Te8 0.2323 0.7017 0.4647
Rb1 0.5000 0.0000 0.0000
Rb2 0.0000 0.0000 0.0000
Rb3 0.5000 0.0000 0.5000
Rb4 0.0000 0.0000 0.5000
U1 0.5000 0.5000 0.5000
U2 0.5000 0.5000 0.0000
U3 0.0000 0.5000 0.5000
Dy1 0.0000 0.5000 0.0000

MnFeAu2 | PBE | relaxed

Properties
Fermi-level density of states: 4.4 states/eV/f.u.
energy: -45.06 eV per cell
SG: I-42d (122)
total moment: 7.2 μB/f.u.
formation energy: 0.415 eV per atom

abc: 7.1927 7.1927 5.7554
angles: 51.33 51.33 90.00
Sites, in units of the cell vectors:
Mn1 0.5000 0.5000 0.0000
Mn2 0.2500 0.7500 0.5000
Au1 0.1158 0.6250 0.2500
Au2 0.3750 0.3658 0.7500
Au3 0.8750 0.8842 0.7500
Au4 0.6342 0.1250 0.2500
Fe1 0.0000 0.0000 0.0000
Fe2 0.7500 0.2500 0.5000

Zn3C | PBE | relaxed

Properties
Fermi-level density of states: 0.4 states/eV/f.u.
energy: -10.19 eV per cell
SG: P-4m2 (115)
total moment: 0.0 μB/f.u.
formation energy: 0.714 eV per atom

abc: 3.7280 3.7288 5.2553
angles: 90.00 90.00 90.00
Sites, in units of the cell vectors:
Zn1 0.0000 0.5000 0.1783
Zn2 0.5000 0.5000 0.7915
Zn3 0.5000 0.0000 0.4051
C1 0.0000 0.0000 0.2917

ReNiIr2 | PBE | relaxed

Properties
Fermi-level density of states: 3.2 states/eV/f.u.
energy: -73.06 eV per cell
SG: Pmmn (59)
total moment: 0.0 μB/f.u.
formation energy: -0.145 eV per atom

abc: 4.3152 4.7033 5.4255
angles: 90.00 90.00 90.00
Sites, in units of the cell vectors:
Ir1 0.2500 0.8245 0.0034
Ir2 0.7500 0.1755 0.5034
Ir3 0.2500 0.8245 0.4966
Ir4 0.7500 0.1755 0.9966
Re1 0.7500 0.6604 0.7500
Re2 0.2500 0.3396 0.2500
Ni1 0.2500 0.3412 0.7500
Ni2 0.7500 0.6588 0.2500

La2BiRhPb | PBE | relaxed

Properties
Fermi-level density of states: 3.7 states/eV/f.u.
energy: -27.95 eV per cell
SG: P4/mmm (123)
total moment: 0.0 μB/f.u.
formation energy: -0.631 eV per atom

abc: 5.5507 5.5507 5.1828
angles: 90.00 90.00 90.00
Sites, in units of the cell vectors:
Bi1 0.5000 0.5000 0.5000
Rh1 0.0000 0.0000 0.0000
La1 0.0000 0.5000 0.0000
La2 0.5000 0.0000 0.0000
Pb1 0.0000 0.0000 0.5000

Lu2AlCr | PBE | relaxed

Properties
Fermi-level density of states: 2.6 states/eV/f.u.
energy: -22.59 eV per cell
SG: Fm-3m (225)
total moment: 3.8 μB/f.u.
formation energy: -0.045 eV per atom

abc: 4.9851 4.9851 4.9851
angles: 60.00 60.00 60.00
Sites, in units of the cell vectors:
Lu1 0.2500 0.2500 0.2500
Lu2 0.7500 0.7500 0.7500
Al1 0.5000 0.5000 0.5000
Cr1 0.0000 0.0000 0.0000

SrCr2W | PBE | relaxed

Properties
Fermi-level density of states: 3.5 states/eV/f.u.
energy: -30.92 eV per cell
SG: P2/m (10)
total moment: 0.0 μB/f.u.
formation energy: 0.741 eV per atom

abc: 4.0724 2.9318 6.7601
angles: 82.82 90.00 90.00
Sites, in units of the cell vectors:
Cr1 0.0000 0.4002 0.6070
Cr2 0.0000 0.0998 0.8930
Sr1 0.5000 0.2500 0.2500
W1 0.5000 0.7500 0.7500

SmGeO4 | PBE | relaxed

Properties
uncorrected formation energy: -2.080 eV per atom
energy: -83.30 eV per cell
SG: C2/c (15)
total moment: 1.0 μB/f.u.

abc: 5.2354 5.4436 6.0700
angles: 111.74 115.55 90.00
Sites, in units of the cell vectors:
O1 0.4838 0.4454 0.1807
O2 0.8714 0.3254 0.6555
O3 0.2159 0.1746 0.3445
O4 0.7841 0.8254 0.6555
O5 0.6969 0.9454 0.1807
O6 0.1286 0.6746 0.3445
O7 0.3031 0.0546 0.8193
O8 0.5162 0.5546 0.8193
Ge1 0.0000 0.0000 0.5000
Ge2 0.5000 0.5000 0.5000
Sm1 0.7826 0.2500 0.0000
Sm2 0.2174 0.7500 0.0000

AlHg2As | PBE | relaxed

Properties
Fermi-level density of states: 1.4 states/eV/f.u.
energy: -7.89 eV per cell
SG: Cmmm (65)
total moment: 0.0 μB/f.u.
formation energy: 0.275 eV per atom

abc: 3.2371 3.2371 8.5436
angles: 90.00 90.00 104.13
Sites, in units of the cell vectors:
Hg1 0.0000 0.0000 0.0115
Hg2 0.0000 0.0000 0.4885
As1 0.5000 0.5000 0.7500
Al1 0.5000 0.5000 0.2500

ErMnTlAg | PBE | relaxed

Properties
Fermi-level density of states: 1.5 states/eV/f.u.
energy: -18.93 eV per cell
SG: F-43m (216)
total moment: 4.2 μB/f.u.
formation energy: 0.006 eV per atom

abc: 4.9550 4.9550 4.9550
angles: 60.00 60.00 60.00
Sites, in units of the cell vectors:
Mn1 0.5000 0.5000 0.5000
Ag1 0.2500 0.2500 0.2500
Er1 0.0000 0.0000 0.0000
Tl1 0.7500 0.7500 0.7500

Sr3LiTl12 | PBE | relaxed

Properties
Fermi-level density of states: 10.5 states/eV/f.u.
energy: -38.63 eV per cell
SG: P4/mmm (123)
total moment: 0.0 μB/f.u.
formation energy: -0.205 eV per atom

abc: 5.0990 5.0990 18.4839
angles: 90.00 90.00 90.00
Sites, in units of the cell vectors:
Tl1 0.5000 0.0000 0.1099
Tl2 0.5000 0.5000 0.5000
Tl3 0.5000 0.0000 0.6301
Tl4 0.5000 0.0000 0.3699
Tl5 0.0000 0.5000 0.1099
Tl6 0.0000 0.5000 0.8901
Tl7 0.5000 0.0000 0.8901
Tl8 0.5000 0.5000 0.7585
Tl9 0.5000 0.5000 0.0000
Tl10 0.0000 0.5000 0.3699
Tl11 0.0000 0.5000 0.6301
Tl12 0.5000 0.5000 0.2415
Sr1 0.0000 0.0000 0.5000
Sr2 0.0000 0.0000 0.2380
Sr3 0.0000 0.0000 0.7620
Li1 0.0000 0.0000 0.0000

CaSi3Ir5 | PBE | relaxed

Properties
uncorrected formation energy: -0.571 eV per atom
Fermi-level density of states: 5.1 states/eV/f.u.
energy: -135.43 eV per cell
SG: Cmcm (63)
total moment: 0.0 μB/f.u.

abc: 3.9282 6.5581 12.2723
angles: 90.00 90.00 107.43
Sites, in units of the cell vectors:
Si1 0.6146 0.2292 0.0435
Si2 0.3854 0.7708 0.5435
Si3 0.1278 0.2556 0.7500
Si4 0.3854 0.7708 0.9565
Si5 0.8722 0.7444 0.2500
Si6 0.6146 0.2292 0.4565
Ir1 0.7963 0.5926 0.0704
Ir2 0.4456 0.8912 0.1465
Ir3 0.0000 0.0000 0.0000
Ir4 0.7963 0.5926 0.4296
Ir5 0.2037 0.4074 0.5704
Ir6 0.5544 0.1088 0.6465
Ir7 0.5544 0.1088 0.8535
Ir8 0.2037 0.4074 0.9296
Ir9 0.0000 0.0000 0.5000
Ir10 0.4456 0.8912 0.3535
Ca1 0.1573 0.3146 0.2500
Ca2 0.8427 0.6854 0.7500

Pr2Cu9Ni6 | PBE | relaxed

Properties
Fermi-level density of states: 11.2 states/eV/f.u.
energy: -81.06 eV per cell
SG: P6/mmm (191)
total moment: 0.6 μB/f.u.
formation energy: 0.003 eV per atom

abc: 4.9783 4.9783 12.1318
angles: 90.00 90.00 120.00
Sites, in units of the cell vectors:
Ni1 0.6667 0.3333 0.3316
Ni2 0.6667 0.3333 0.0000
Ni3 0.3333 0.6667 0.6684
Ni4 0.3333 0.6667 0.0000
Ni5 0.3333 0.6667 0.3316
Ni6 0.6667 0.3333 0.6684
Cu1 0.5000 0.0000 0.1621
Cu2 0.5000 0.5000 0.5000
Cu3 0.0000 0.5000 0.5000
Cu4 0.5000 0.0000 0.8379
Cu5 0.5000 0.5000 0.1621
Cu6 0.0000 0.5000 0.8379
Cu7 0.5000 0.5000 0.8379
Cu8 0.0000 0.5000 0.1621
Cu9 0.5000 0.0000 0.5000
Pr1 0.0000 0.0000 0.6780
Pr2 0.0000 0.0000 0.3220

CeCo9Si4 | PBE | relaxed

Properties
uncorrected formation energy: -0.486 eV per atom
Fermi-level density of states: 16.7 states/eV/f.u.
energy: -196.76 eV per cell
SG: I4/mcm (140)
total moment: 4.7 μB/f.u.

abc: 7.9064 7.9064 7.9064
angles: 121.55 121.55 87.34
Sites, in units of the cell vectors:
Si1 0.2108 0.0484 0.5000
Si2 0.0484 0.5484 0.8376
Si3 0.9516 0.4516 0.1624
Si4 0.7892 0.9516 0.5000
Si5 0.2892 0.7892 0.8376
Si6 0.7108 0.2108 0.1624
Si7 0.5484 0.7108 0.5000
Si8 0.4516 0.2892 0.5000
Ce1 0.2500 0.2500 0.0000
Ce2 0.7500 0.7500 0.0000
Co1 0.5502 0.0502 0.2375
Co2 0.5000 0.0000 0.5000
Co3 0.1873 0.6873 0.2375
Co4 0.3001 0.4302 0.7302
Co5 0.6873 0.4498 0.5000
Co6 0.3127 0.5502 0.5000
Co7 0.0000 0.5000 0.5000
Co8 0.5698 0.3001 0.8699
Co9 0.1999 0.9302 0.1301
Co10 0.9498 0.1873 0.5000
Co11 0.8127 0.3127 0.7625
Co12 0.4498 0.9498 0.7625
Co13 0.4302 0.6999 0.1301
Co14 0.0502 0.8127 0.5000
Co15 0.0698 0.1999 0.2698
Co16 0.8001 0.0698 0.8699
Co17 0.6999 0.5698 0.2698
Co18 0.9302 0.8001 0.7302

Pm6CN4 | PBE | relaxed

Properties
uncorrected formation energy: -0.540 eV per atom
Fermi-level density of states: 5.9 states/eV/f.u.
energy: -153.93 eV per cell
SG: R-3c (167)
total moment: 0.0 μB/f.u.

abc: 7.4436 7.4436 7.4436
angles: 88.02 88.02 91.98
Sites, in units of the cell vectors:
Pm1 0.8167 0.5474 0.5248
Pm2 0.9526 0.6833 0.9752
Pm3 0.0474 0.3167 0.0248
Pm4 0.1833 0.4526 0.4752
Pm5 0.3167 0.9752 0.9526
Pm6 0.5474 0.4752 0.1833
Pm7 0.6833 0.0248 0.0474
Pm8 0.4752 0.8167 0.4526
Pm9 0.0248 0.9526 0.3167
Pm10 0.4526 0.5248 0.8167
Pm11 0.9752 0.0474 0.6833
Pm12 0.5248 0.1833 0.5474
C1 0.5000 0.5000 0.5000
C2 0.0000 0.0000 0.0000
N1 0.1005 0.7500 0.6005
N2 0.2500 0.6005 0.1005
N3 0.7500 0.3995 0.8995
N4 0.3995 0.1005 0.2500
N5 0.6005 0.8995 0.7500
N6 0.2500 0.2500 0.7500
N7 0.8995 0.2500 0.3995
N8 0.7500 0.7500 0.2500

Sr2CuP | PBE | relaxed

Properties
Fermi-level density of states: 1.1 states/eV/f.u.
energy: -14.56 eV per cell
SG: P4mm (99)
total moment: 0.0 μB/f.u.
formation energy: -0.423 eV per atom

abc: 4.4419 4.4389 6.1711
angles: 90.00 90.00 90.00
Sites, in units of the cell vectors:
Sr1 0.0000 0.0000 0.8756
Sr2 0.5000 0.5000 0.3735
P1 0.5000 0.5000 0.8737
Cu1 0.0000 0.0000 0.3772

HoFeRh2 | PBE | relaxed

Properties
Fermi-level density of states: 3.9 states/eV/f.u.
energy: -29.30 eV per cell
SG: P4/mmm (123)
total moment: 4.3 μB/f.u.
formation energy: -0.389 eV per atom

abc: 3.4639 4.3676 4.3676
angles: 90.00 90.00 90.00
Sites, in units of the cell vectors:
Fe1 0.5000 0.0000 0.0000
Rh1 0.0000 0.0000 0.5000
Rh2 0.0000 0.5000 0.0000
Ho1 0.5000 0.5000 0.5000